No. 1
Computed, not measured: crystalline TaHg2Se at its relaxed geometry at the PBE level of DFT.

Cell lengths 3.2373, 4.5472, 5.7734 Å; angles 90.00, 90.00, 90.00 degrees
Positions (direct):
1 Ta 0.0000 0.0000 0.0000
2 Hg 0.0000 0.5000 0.5000
3 Hg 0.5000 0.0000 0.5000
4 Se 0.5000 0.5000 0.0000

Calculated values
uncorrected formation energy: 1.66 eV/f.u.


No. 2
Computed, not measured: crystalline TaHgSe2 at its relaxed geometry at the PBE level of DFT.

Cell lengths 6.4126, 6.1607, 13.3730 Å; angles 90.00, 118.48, 90.00 degrees
Positions (direct):
1 Ta 0.2157 0.0006 0.4655
2 Ta 0.2157 0.4994 0.9655
3 Ta 0.7843 0.5006 0.0345
4 Ta 0.7843 0.9994 0.5345
5 Hg 0.1231 0.2471 0.7505
6 Hg 0.1231 0.2529 0.2505
7 Hg 0.8769 0.7471 0.7495
8 Hg 0.8769 0.7529 0.2495
9 Se 0.1378 0.7487 0.0871
10 Se 0.1378 0.7513 0.5871
11 Se 0.4621 0.7452 0.9103
12 Se 0.4621 0.7548 0.4103
13 Se 0.5379 0.2452 0.5897
14 Se 0.5379 0.2548 0.0897
15 Se 0.8622 0.2487 0.4129
16 Se 0.8622 0.2513 0.9129

Calculated values
uncorrected formation energy: -1.51 eV/f.u.


| no. | total DFT energy (no corrections) (eV/cell) |
| --- | --- |
| 1 | -14.3 |
| 2 | -82.5 |